(1)
## Nd2AlZn3Ga4 (PBE)

Data for a geometry-optimized Nd2AlZn3Ga4 structure.

Cell lengths 4.2229, 4.2229, 10.8686 Å; angles 90.00, 90.00, 90.00 degrees
Last column: nearest neighbours and their distance in Å.
Fractional positions:
Nd 0.5000 0.0000 0.2481  8 Ga 3.22-3.42, 6 Zn 3.23-3.46, 2 Al 3.46
Nd 0.0000 0.5000 0.7519  8 Ga 3.22-3.42, 6 Zn 3.23-3.46, 2 Al 3.46
Al 0.5000 0.5000 0.5000  4 Ga 2.61
Zn 0.0000 0.0000 0.5000  4 Ga 2.61
Zn 0.5000 0.0000 0.8653  5 Ga 2.44-2.57
Zn 0.0000 0.5000 0.1347  5 Ga 2.44-2.57
Ga 0.5000 0.5000 0.0000  4 Zn 2.57
Ga 0.0000 0.0000 0.0000  4 Zn 2.57
Ga 0.5000 0.0000 0.6405  3 Zn 2.44-2.61, 2 Al 2.61
Ga 0.0000 0.5000 0.3595  3 Zn 2.44-2.61, 2 Al 2.61

Calculated values
As for the size of the total moment: 0.0 μB/f.u. As for the mass density: 6.77 Mg/m³. The total DFT energy (no corrections) is -3.400 eV per atom.

***

(2)
## LiRe2P (PBE)

Data for a geometry-optimized LiRe2P structure.

Cell lengths 4.8678, 4.8678, 4.8678 Å; angles 143.19, 130.15, 63.55 degrees
Last column: nearest neighbours and their distance in Å.
Fractional positions:
Li 0.4855 0.4855 0.0000  2 P 2.51, 6 Re 2.58-2.68
P 0.2460 0.7460 0.5000  6 Re 2.44-2.56, 2 Li 2.51
Re 0.0171 0.0171 0.0000  2 P 2.44, 4 Li 2.58, 2 Re 2.68
Re 0.7514 0.2514 0.5000  4 P 2.56, 4 Re 2.68-2.82, 4 Li 2.68-2.82

Calculated values
As for the size of the total moment: 0.0 μB/f.u. As for the mass density: 13.06 Mg/m³. The total DFT energy (no corrections) is -7.920 eV per atom.

***

(3)
## UTlAg2O6 (PBE)

Data for a geometry-optimized UTlAg2O6 structure.

Cell lengths 5.7897, 5.7901, 6.0247 Å; angles 61.28, 61.28, 60.00 degrees
Last column: nearest neighbours and their distance in Å.
Fractional positions:
U 0.3162 0.3162 0.0513  6 O 2.09
Tl 0.8162 0.8162 0.5515  6 O 2.29
Ag 0.5666 0.5666 0.3002  3 O 2.24
Ag 0.0647 0.0647 0.8058  3 O 2.24
O 0.5517 0.1923 0.2912  1 U 2.09, 1 Ag 2.24, 1 Tl 2.29
O 0.1923 0.9649 0.2912  1 U 2.09, 1 Ag 2.24, 1 Tl 2.29
O 0.9649 0.5516 0.2912  1 U 2.09, 1 Ag 2.24, 1 Tl 2.29
O 0.4402 0.6675 0.8109  1 U 2.09, 1 Ag 2.24, 1 Tl 2.29
O 0.6675 0.0814 0.8109  1 U 2.09, 1 Ag 2.24, 1 Tl 2.29
O 0.0814 0.4402 0.8109  1 U 2.09, 1 Ag 2.24, 1 Tl 2.29

Calculated values
As for the size of the total moment: 0.0 μB/f.u. As for the mass density: 8.61 Mg/m³. For the raw formation energy, the calculation gives -1.335 eV/atom.

***

(4)
## K2CrRe (PBE)

Data for a geometry-optimized K2CrRe structure.

Cell lengths 6.0120, 2.8384, 5.1497 Å; angles 86.49, 90.00, 90.00 degrees
Last column: nearest neighbours and their distance in Å.
Fractional positions:
Cr 0.5000 0.7500 0.7500  2 Cr 2.84, 4 Re 2.86-3.02
K 0.0000 0.9808 0.0001  6 K 2.82-3.07
K 0.0000 0.5192 0.4999  6 K 2.82-3.07
Re 0.5000 0.2500 0.2500  2 Re 2.84, 4 Cr 2.86-3.02

Calculated values
As for the size of the total moment: 3.3 μB/f.u. As for the mass density: 5.99 Mg/m³. The total DFT energy (no corrections) is -4.580 eV per atom.

***

(5)
## Ca2ZrRh (PBE)

Data for a geometry-optimized Ca2ZrRh structure.

Cell lengths 4.8483, 4.8483, 7.9107 Å; angles 73.46, 73.46, 44.18 degrees
Last column: nearest neighbours and their distance in Å.
Fractional positions:
Ca 0.0053 0.0053 0.9280  2 Rh 2.98
Ca 0.1684 0.1684 0.3220  2 Rh 3.00
Rh 0.5164 0.5164 0.6268  3 Zr 2.61-2.63
Zr 0.8099 0.8099 0.6232  3 Rh 2.61-2.63

Calculated values
As for the size of the total moment: 0.0 μB/f.u. As for the mass density: 3.69 Mg/m³. The total DFT energy (no corrections) is -5.104 eV per atom.

***

(6)
## Pm2IO8 (PBE)

Data for a geometry-optimized Pm2IO8 structure.

Cell lengths 4.3412, 6.3732, 7.7306 Å; angles 92.24, 81.18, 127.92 degrees
Last column: nearest neighbours and their distance in Å.
Fractional positions:
Pm 0.6663 0.4779 0.7461  7 O 2.36-2.55
Pm 0.3337 0.5221 0.2539  7 O 2.36-2.55
I 0.5000 0.0000 0.0000  6 O 1.89-1.90
O 0.0560 0.7525 0.1706  1 I 1.89
O 0.4829 0.2859 0.0457  1 I 1.89
O 0.7411 0.4100 0.4453  1 O 2.10
O 0.2223 0.9235 0.8102  1 I 1.90
O 0.2589 0.5900 0.5547  1 O 2.10
O 0.5171 0.7141 0.9543  1 I 1.89
O 0.9440 0.2475 0.8294  1 I 1.89
O 0.7777 0.0765 0.1898  1 I 1.90

Calculated values
As for the size of the total moment: 3.0 μB/f.u. As for the mass density: 5.44 Mg/m³. For the raw formation energy, the calculation gives -1.394 eV/atom.

***

(7)
## Al2V4Ag (PBE)

Data for a geometry-optimized Al2V4Ag structure.

Cell lengths 4.8225, 4.8225, 7.3629 Å; angles 70.88, 70.88, 90.00 degrees
Last column: nearest neighbours and their distance in Å.
Fractional positions:
Al 0.6048 0.6048 0.7903  5 V 2.62-2.77, 1 Al 2.74
Al 0.3952 0.3952 0.2097  5 V 2.62-2.77, 1 Al 2.74
Ag 0.0000 0.0000 0.0000  6 V 2.41-2.54
V 0.8056 0.8056 0.3888  1 Ag 2.54, 1 Al 2.62
V 0.1944 0.1944 0.6112  1 Ag 2.54, 1 Al 2.62
V 0.0000 0.5000 0.0000  2 Ag 2.41
V 0.5000 0.0000 0.0000  2 Ag 2.41

Calculated values
As for the size of the total moment: 1.8 μB/f.u. As for the mass density: 4.00 Mg/m³. The total DFT energy (no corrections) is -5.444 eV per atom.

***

(8)
## Ga3AgTe4 (PBE)

Data for a geometry-optimized Ga3AgTe4 structure.

Cell lengths 6.6232, 6.6232, 7.7237 Å; angles 115.39, 115.39, 90.00 degrees
Last column: nearest neighbours and their distance in Å.
Fractional positions:
Ga 0.5000 0.5000 0.0000  4 Te 2.72
Ga 0.7500 0.2500 0.5000  4 Te 2.80
Ga 0.2500 0.7500 0.5000  4 Te 2.80
Ag 0.0000 0.0000 0.0000  4 Te 2.89
Te 0.3863 0.3863 0.2511  3 Ga 2.72-2.80, 1 Ag 2.89
Te 0.8648 0.8648 0.2511  3 Ga 2.72-2.80, 1 Ag 2.89
Te 0.1352 0.6137 0.7489  3 Ga 2.72-2.80, 1 Ag 2.89
Te 0.6137 0.1352 0.7489  3 Ga 2.72-2.80, 1 Ag 2.89

Calculated values
As for the size of the total moment: 0.0 μB/f.u. As for the mass density: 5.10 Mg/m³. For the raw formation energy, the calculation gives -0.178 eV/atom.

***

(9)
## Cs6TeS2 (PBE)

Data for a geometry-optimized Cs6TeS2 structure.

Cell lengths 7.1662, 7.1662, 9.1922 Å; angles 96.38, 96.38, 105.87 degrees
Last column: nearest neighbours and their distance in Å.
Fractional positions:
Cs 0.9954 0.0864 0.7811  2 S 3.34-3.43
Cs 0.4136 0.5046 0.2189  2 S 3.34-3.43
Cs 0.0046 0.9136 0.2189  2 S 3.34-3.43
Cs 0.5864 0.4954 0.7811  2 S 3.34-3.43
Cs 0.2820 0.7820 0.5836  4 S 3.56-3.78, 2 Cs 3.83, 1 Te 3.94
Cs 0.7180 0.2180 0.4164  4 S 3.56-3.78, 2 Cs 3.83, 1 Te 3.94
Te 0.5000 0.0000 0.0000  10 Cs 3.94-4.21
S 0.2285 0.2715 0.5000  6 Cs 3.34-3.56
S 0.7715 0.7285 0.5000  6 Cs 3.34-3.56

Calculated values
As for the size of the total moment: 0.0 μB/f.u. As for the mass density: 3.68 Mg/m³. For the raw formation energy, the calculation gives -0.939 eV/atom.